Below is NbAl3Sb after structural relaxation, with properties calculated at the PBE level.

Lattice parameters (Å, degrees): 5.024 5.024 5.024 90.00 90.00 90.00
Atoms (fractional coordinates):
Sb  0.500  0.500  0.500
Nb  0.000  0.000  0.000
Al  0.000  0.500  0.000
Al  0.000  0.000  0.500
Al  0.500  0.000  0.000

## Properties
E_form (uncorrected), kcal/mol of atoms: 18.70
Energy above the lowest structure with this stoichiometry, eV/atom: 0.000

***

Below is SiPb2Au2 after structural relaxation, with properties calculated at the PBE level.

Lattice parameters (Å, degrees): 6.694 6.694 5.293 90.00 90.00 90.00
Atoms (fractional coordinates):
Pb  0.178  0.678  0.500
Pb  0.678  0.822  0.500
Pb  0.822  0.322  0.500
Pb  0.322  0.178  0.500
Si  0.000  0.000  0.000
Si  0.500  0.500  0.000
Au  0.346  0.846  0.000
Au  0.846  0.654  0.000
Au  0.654  0.154  0.000
Au  0.154  0.346  0.000

## Properties
E_form (uncorrected), kcal/mol of atoms: 2.28
Energy above the lowest structure with this stoichiometry, eV/atom: 0.000

***

Below is BaHg8Au2 after structural relaxation, with properties calculated at the PBE level.

Lattice parameters (Å, degrees): 6.373 6.373 10.348 107.93 107.93 90.00
Atoms (fractional coordinates):
Ba  0.500  0.500  0.000
Hg  0.897  0.897  0.287
Hg  0.103  0.103  0.713
Hg  0.611  0.611  0.713
Hg  0.611  0.103  0.713
Hg  0.389  0.389  0.287
Hg  0.389  0.897  0.287
Hg  0.897  0.389  0.287
Hg  0.103  0.611  0.713
Au  0.250  0.750  0.500
Au  0.750  0.250  0.500

## Properties
Energy of formation from the pure elements, eV per atom: -0.063

***

Below is Th2TlHg6 after structural relaxation, with properties calculated at the PBE level.

Lattice parameters (Å, degrees): 3.382 8.915 8.914 120.00 90.01 90.00
Atoms (fractional coordinates):
Th  0.000  0.333  0.667
Th  0.000  0.667  0.333
Tl  0.000  0.000  0.000
Hg  0.499  0.332  0.332
Hg  0.501  0.668  0.668
Hg  0.501  0.000  0.668
Hg  0.500  0.668  0.000
Hg  0.500  0.332  0.000
Hg  0.499  0.000  0.332

## Properties
Energy of formation from the pure elements, eV per atom: -0.157